# 1
Re2SI | meta-GGA SCAN | PBEsol geometry

abc: 4.452 4.452 4.452
angles: 60.00 60.00 60.00
Fractional coordinates of all 4 atoms:
Re (0.750, 0.750, 0.750)
Re (0.250, 0.250, 0.250)
I (0.500, 0.500, 0.500)
S (0.000, 0.000, 0.000)

## Properties
uncorrected formation energy = 1.404 eV/atom
N(E_F) = 0.754 states/eV/atom
spin magnetization = 0.00 μB/atom
SG = No. 225

=====

# 2
TaReTe2Pb | meta-GGA SCAN | PBEsol geometry

abc: 4.845 5.364 5.364
angles: 90.00 90.00 90.00
Last column: magnetic moment on the atom in μB.
Fractional coordinates of all 5 atoms:
Te (0.000, 0.500, 0.000)  0.15
Te (0.000, 0.000, 0.500)  0.15
Ta (0.000, 0.000, 0.000)  -0.33
Re (0.500, 0.000, 0.000)  1.75
Pb (0.500, 0.500, 0.500)  -0.15

## Properties
uncorrected formation energy = 1.048 eV/atom
N(E_F) = 0.552 states/eV/atom
spin magnetization = 0.38 μB/atom
SG = No. 123

=====

# 3
Ta2AgS4 | meta-GGA SCAN | PBEsol geometry

abc: 3.333 3.333 12.890
angles: 90.00 90.00 120.00
Fractional coordinates of all 7 atoms:
S (0.667, 0.333, 0.350)
S (0.667, 0.333, 0.111)
S (0.333, 0.667, 0.889)
S (0.333, 0.667, 0.650)
Ta (0.000, 0.000, 0.772)
Ta (0.000, 0.000, 0.228)
Ag (0.000, 0.000, 0.500)

## Properties
uncorrected formation energy = -0.920 eV/atom
N(E_F) = 0.339 states/eV/atom
spin magnetization = 0.00 μB/atom
SG = No. 164

=====

# 4
BaMg2Pb | meta-GGA SCAN | PBEsol geometry

abc: 5.486 5.486 5.486
angles: 60.00 60.00 60.00
Fractional coordinates of all 4 atoms:
Pb (0.500, 0.500, 0.500)
Ba (0.000, 0.000, 0.000)
Mg (0.750, 0.750, 0.750)
Mg (0.250, 0.250, 0.250)

## Properties
N(E_F) = 0.446 states/eV/atom
spin magnetization = 0.00 μB/atom
SG = No. 225
E_form = -0.8 eV per formula unit

=====

# 5
AsIrPt2 | meta-GGA SCAN | PBEsol geometry

abc: 3.111 3.768 5.458
angles: 90.00 106.57 90.00
Fractional coordinates of all 4 atoms:
As (0.297, 0.000, 0.469)
Ir (0.437, 0.500, 0.749)
Pt (0.065, 0.000, 0.004)
Pt (0.701, 0.500, 0.278)

## Properties
N(E_F) = 0.787 states/eV/atom
spin magnetization = 0.00 μB/atom
SG = No. 38
E_form = 0.2 eV per formula unit

=====

# 6
CaBN3 | meta-GGA SCAN | PBEsol geometry

abc: 4.543 4.543 4.543
angles: 90.00 90.00 90.00
Last column: magnetic moment on the atom in μB.
Fractional coordinates of all 5 atoms:
Ca (0.000, 0.000, 0.000)  0.10
N (0.000, 0.500, 0.000)  1.46
N (0.500, 0.000, 0.000)  1.46
N (0.000, 0.000, 0.500)  1.46
B (0.500, 0.500, 0.500)  -0.17

## Properties
uncorrected formation energy = 2.740 eV/atom
N(E_F) = 0.534 states/eV/atom
spin magnetization = 1.20 μB/atom
SG = No. 221

=====

# 7
FeRhW2 | meta-GGA SCAN | PBEsol geometry

abc: 3.779 3.779 4.694
angles: 113.74 113.74 90.00
Fractional coordinates of all 4 atoms:
Rh (0.250, 0.750, 0.500)
Fe (0.000, 0.000, 0.000)
W (0.750, 0.250, 0.500)
W (0.500, 0.500, 0.000)

## Properties
relative energy among the computed polymorphs = 170 meV/atom
N(E_F) = 0.795 states/eV/atom
spin magnetization = 0.00 μB/atom
SG = No. 119
E_form = 0.9 eV per formula unit

=====

# 8
GaFe3 | meta-GGA SCAN | PBEsol geometry

abc: 4.002 4.002 4.002
angles: 60.00 60.00 60.00
Last column: magnetic moment on the atom in μB.
Fractional coordinates of all 4 atoms:
Fe (0.750, 0.750, 0.750)  2.52
Fe (0.500, 0.500, 0.500)  2.49
Fe (0.250, 0.250, 0.250)  2.52
Ga (0.000, 0.000, 0.000)  -0.14

## Properties
N(E_F) = 1.097 states/eV/atom
spin magnetization = 1.82 μB/atom
SG = No. 225
E_form = -0.5 eV per formula unit

=====

# 9
ZnReCl2 | meta-GGA SCAN | PBEsol geometry

abc: 2.993 3.098 8.902
angles: 90.00 90.00 118.89
Last column: magnetic moment on the atom in μB.
Fractional coordinates of all 4 atoms:
Cl (0.000, 0.000, 0.941)  0.00
Cl (0.500, 0.000, 0.305)  -0.05
Re (0.000, 0.000, 0.506)  -0.82
Zn (0.500, 0.000, 0.748)  -0.01

## Properties
uncorrected formation energy = 0.066 eV/atom
relative energy among the computed polymorphs = 0 meV/atom
N(E_F) = 0.350 states/eV/atom
spin magnetization = 0.27 μB/atom
SG = No. 35

=====

# 10
As2IrSeBr | meta-GGA SCAN | PBEsol geometry

abc: 4.743 4.743 5.036
angles: 90.00 90.00 90.00
Fractional coordinates of all 5 atoms:
As (0.000, 0.500, 0.000)
As (0.500, 0.000, 0.000)
Se (0.500, 0.500, 0.500)
Ir (0.000, 0.000, 0.000)
Br (0.000, 0.000, 0.500)

## Properties
uncorrected formation energy = 0.589 eV/atom
N(E_F) = 0.905 states/eV/atom
spin magnetization = 0.00 μB/atom
SG = No. 123

=====

# 11
Y3CBr3 | meta-GGA SCAN | PBEsol geometry

abc: 6.458 6.458 10.641
angles: 72.34 72.34 60.00
Fractional coordinates of all 14 atoms:
Y (0.694, 0.045, 0.864)
Y (0.397, 0.694, 0.864)
Y (0.603, 0.306, 0.136)
Y (0.306, 0.955, 0.136)
Y (0.955, 0.603, 0.136)
Y (0.045, 0.397, 0.864)
C (0.667, 0.667, 0.000)
C (0.333, 0.333, 0.000)
Br (0.782, 0.435, 0.675)
Br (0.565, 0.892, 0.325)
Br (0.108, 0.782, 0.675)
Br (0.435, 0.108, 0.675)
Br (0.218, 0.565, 0.325)
Br (0.892, 0.218, 0.325)

## Properties
uncorrected formation energy = -1.494 eV/atom
N(E_F) = 0.430 states/eV/atom
spin magnetization = 0.00 μB/atom
SG = No. 148

=====

# 12
Sr5Tl | meta-GGA SCAN | PBEsol geometry

abc: 6.272 6.952 6.952
angles: 120.00 90.00 90.00
Fractional coordinates of all 6 atoms:
Sr (0.500, 0.333, 0.667)
Sr (0.000, 0.309, 0.309)
Sr (0.000, 0.000, 0.691)
Sr (0.500, 0.667, 0.333)
Sr (0.000, 0.691, 0.000)
Tl (0.500, 0.000, 0.000)

## Properties
relative energy among the computed polymorphs = 147 meV/atom
N(E_F) = 1.027 states/eV/atom
spin magnetization = 0.00 μB/atom
SG = No. 189
E_form = -0.4 eV per formula unit